(1)
Sr2CaV2Si4O14 | PBE with a Hubbard U | relaxed

## Properties
The space group is C2. Its total magnetization is 0.174 μB/atom. The energy relative to the lowest polymorph listed for this composition comes out at 80 meV/atom.

Unit cell a=7.9473 b=7.9473 c=7.3754 alpha=94.47 beta=94.47 gamma=40.72
Last column: nearest neighbours and their distance in Å.
Atoms (fractional coordinates):
Sr: 0.1984 0.1984 0.2796  7 O 2.58-2.84
Sr: 0.8016 0.8016 0.7204  7 O 2.58-2.84
Ca: 0.0756 0.9244 0.0000  2 O 2.15
V: 0.1145 0.1108 0.7203  3 O 1.83-2.02
V: 0.8892 0.8855 0.2797  3 O 1.83-2.02
Si: 0.3957 0.3909 0.5296  4 O 1.62-1.69
Si: 0.4209 0.3592 0.9720  4 O 1.62-1.68
Si: 0.6091 0.6043 0.4704  4 O 1.62-1.69
Si: 0.6408 0.5791 0.0280  4 O 1.62-1.68
O: 0.0065 0.0147 0.2869  1 V 1.83
O: 0.1003 0.5860 0.4477  1 Si 1.64
O: 0.1357 0.5830 0.0560  1 Si 1.62
O: 0.3811 0.3488 0.7461  2 Si 1.68-1.69
O: 0.4140 0.8997 0.5523  1 Si 1.64
O: 0.4170 0.8643 0.9440  1 Si 1.62
O: 0.4990 0.5010 0.5000  2 Si 1.62
O: 0.5297 0.4703 0.0000  2 Si 1.63
O: 0.5772 0.1058 0.4355  1 Si 1.63
O: 0.6430 0.0663 0.0436  1 Si 1.62
O: 0.6512 0.6189 0.2539  2 Si 1.68-1.69
O: 0.8942 0.4228 0.5645  1 Si 1.63
O: 0.9337 0.3570 0.9564  1 Si 1.62
O: 0.9853 0.9935 0.7131  1 V 1.83

(2)
Sr2CaV2Si4O14 | PBE with a Hubbard U | relaxed

## Properties
The space group is Amm2. Its total magnetization is 0.174 μB/atom. The energy relative to the lowest polymorph listed for this composition comes out at 198 meV/atom.

Unit cell a=7.5821 b=7.7704 c=7.7704 alpha=41.60 beta=90.00 gamma=90.00
Last column: nearest neighbours and their distance in Å.
Atoms (fractional coordinates):
Sr: 0.0000 0.0000 0.0000  1 O 2.46
Sr: 0.5000 0.3597 0.3597  5 O 2.46-2.70
Ca: 0.5000 0.6469 0.6469  7 O 2.26-2.50, 2 Si 2.51
V: 0.0000 0.2938 0.2938  1 O 1.80
V: 0.5000 0.0665 0.0665  1 O 1.80
Si: 0.2004 0.5736 0.5736  4 O 1.62-1.66
Si: 0.2611 0.7995 0.7995  3 O 1.60-1.66
Si: 0.7389 0.7995 0.7995  3 O 1.60-1.66
Si: 0.7996 0.5736 0.5736  4 O 1.62-1.66
O: 0.0000 0.1697 0.1697  1 V 1.80
O: 0.0000 0.5320 0.5320  2 Si 1.64
O: 0.1959 0.0939 0.5947  1 Si 1.60
O: 0.1959 0.5947 0.0939  1 Si 1.60
O: 0.2130 0.6879 0.6879  2 Si 1.66
O: 0.3085 0.3025 0.7780  1 Si 1.62
O: 0.3085 0.7780 0.3025  1 Si 1.62
O: 0.5000 0.1904 0.1904  1 V 1.80
O: 0.5000 0.8051 0.8051  2 Si 1.81
O: 0.6915 0.3025 0.7780  1 Si 1.62
O: 0.6915 0.7780 0.3025  1 Si 1.62
O: 0.7870 0.6879 0.6879  2 Si 1.66
O: 0.8041 0.0939 0.5947  1 Si 1.60
O: 0.8041 0.5947 0.0939  1 Si 1.60

(3)
Sr2CaV2Si4O14 | PBE with a Hubbard U | relaxed

## Properties
The space group is Pm. Its total magnetization is 0.174 μB/atom. The energy relative to the lowest polymorph listed for this composition comes out at 158 meV/atom.

Unit cell a=5.6704 b=7.2690 c=7.7896 alpha=90.00 beta=107.31 gamma=90.00
Last column: nearest neighbours and their distance in Å.
Atoms (fractional coordinates):
Sr: 0.0000 0.0000 0.0000  1 O 2.39
Sr: 0.3405 0.5000 0.7787  9 O 2.75-3.04
Ca: 0.4006 0.5000 0.3542  1 O 2.07
V: 0.2576 0.0000 0.5625  1 O 1.80
V: 0.9712 0.5000 0.0809  1 O 1.79
Si: 0.5462 0.2188 0.1302  4 O 1.63-1.65
Si: 0.5462 0.7812 0.1302  4 O 1.63-1.65
Si: 0.7690 0.2687 0.5693  4 O 1.60-1.71
Si: 0.7690 0.7313 0.5693  4 O 1.60-1.71
O: 0.0242 0.5000 0.3194  1 V 1.79
O: 0.0396 0.1905 0.6685  1 Si 1.60
O: 0.0396 0.8095 0.6685  1 Si 1.60
O: 0.1342 0.0000 0.3213  1 V 1.80
O: 0.2732 0.3160 0.0716  1 Si 1.64
O: 0.2732 0.6840 0.0716  1 Si 1.64
O: 0.5045 0.0000 0.0750  2 Si 1.65
O: 0.5230 0.2134 0.6253  1 Si 1.63
O: 0.5230 0.7866 0.6253  1 Si 1.63
O: 0.6701 0.2474 0.3463  2 Si 1.63-1.67
O: 0.6701 0.7526 0.3463  2 Si 1.63-1.67
O: 0.7158 0.2994 0.0120  1 Si 1.63
O: 0.7158 0.7006 0.0120  1 Si 1.63
O: 0.7825 0.5000 0.6099  2 Si 1.71

(4)
Sr2CaV2Si4O14 | PBE with a Hubbard U | relaxed

## Properties
The space group is P1. Its total magnetization is 0.174 μB/atom. The energy relative to the lowest polymorph listed for this composition comes out at 48 meV/atom.

Unit cell a=5.6004 b=7.8534 c=7.9922 alpha=73.98 beta=71.04 gamma=89.80
Last column: nearest neighbours and their distance in Å.
Atoms (fractional coordinates):
Sr: 0.0000 0.0000 0.0000  4 O 2.41-2.66
Sr: 0.2851 0.6172 0.3236  3 O 2.36-2.58
Ca: 0.3110 0.1926 0.2771  2 O 2.17-2.34
V: 0.0130 0.4951 0.9808  6 O 2.15-2.38
V: 0.1051 0.8503 0.5943  2 O 1.71-1.76
Si: 0.5435 0.7992 0.9080  4 O 1.62-1.67
Si: 0.5660 0.2324 0.8779  4 O 1.62-1.70
Si: 0.6981 0.8141 0.4736  4 O 1.63-1.67
Si: 0.7226 0.4040 0.4446  4 O 1.60-1.69
O: 0.1068 0.0299 0.6751  1 V 1.71
O: 0.1223 0.6222 0.6876  1 V 1.76
O: 0.2522 0.7133 0.9972  1 Si 1.62
O: 0.2765 0.2788 0.9670  1 Si 1.63
O: 0.4711 0.9065 0.4071  1 Si 1.63
O: 0.4810 0.3532 0.3978  1 Si 1.60
O: 0.5302 0.0081 0.9209  2 Si 1.67-1.70
O: 0.6777 0.8043 0.6870  2 Si 1.65-1.67
O: 0.7106 0.3105 0.6567  2 Si 1.62-1.63
O: 0.7171 0.6219 0.4329  2 Si 1.63-1.69
O: 0.7216 0.7045 0.0235  1 Si 1.62
O: 0.7319 0.2657 0.0019  1 Si 1.63
O: 0.9917 0.9138 0.3650  1 Si 1.67
O: 0.9925 0.3873 0.2949  1 Si 1.63

(5)
Sr2CaV2Si4O14 | PBE with a Hubbard U | relaxed

## Properties
The space group is P1. Its total magnetization is 0.174 μB/atom. The energy relative to the lowest polymorph listed for this composition comes out at 0 meV/atom.

Unit cell a=5.8592 b=7.3362 c=7.8370 alpha=85.77 beta=73.23 gamma=75.27
Last column: nearest neighbours and their distance in Å.
Atoms (fractional coordinates):
Sr: 0.0000 0.0000 0.0000  5 O 2.42-2.63
Sr: 0.3031 0.4730 0.0994  3 O 2.43-2.70
Ca: 0.1185 0.7353 0.5166  6 O 2.36-2.53
V: 0.2877 0.1183 0.3700  4 O 1.88-2.06
V: 0.9931 0.3282 0.6747  5 O 1.92-2.14
Si: 0.5528 0.1911 0.7420  4 O 1.62-1.69
Si: 0.5809 0.7455 0.7351  4 O 1.60-1.67
Si: 0.6579 0.7156 0.3217  4 O 1.61-1.67
Si: 0.7508 0.2891 0.3288  4 O 1.62-1.65
O: 0.0450 0.2018 0.2328  1 Si 1.65
O: 0.1276 0.0546 0.6020  2 V 1.88-2.02
O: 0.1878 0.4057 0.4520  2 V 1.92-2.13
O: 0.2586 0.2749 0.8224  1 Si 1.62
O: 0.3382 0.7303 0.8884  1 Si 1.60
O: 0.4218 0.8496 0.2661  1 Si 1.63
O: 0.5421 0.7000 0.5416  2 Si 1.67
O: 0.6124 0.1613 0.2543  1 Si 1.62
O: 0.6341 0.9605 0.7119  2 Si 1.65-1.67
O: 0.6766 0.5028 0.2478  2 Si 1.65-1.67
O: 0.6875 0.2884 0.5485  2 Si 1.65-1.69
O: 0.6992 0.2487 0.8715  1 Si 1.64
O: 0.8435 0.6096 0.7478  1 Si 1.63
O: 0.9270 0.7578 0.2621  1 Si 1.61